First-principles (PBE-GGA) data for a geometry-optimized K2Zr2US6 structure, as listed in Alexandria via LeMat-Bulk.

```
K2Zr2US6
1.0
-0.8240 -5.5203 3.5074
4.1370 4.6845 2.0965
-6.8008 3.5821 1.9959
Zr S U K
2 6 1 2
Cartesian
-0.9183 3.0713 3.5651
-2.5694 -0.3250 4.0347
-0.3857 -1.3035 5.1257
-3.1021 4.0498 2.4741
-2.3554 1.8960 5.4311
-4.8056 0.5456 2.9586
1.3179 2.2007 4.6412
-1.1323 0.8503 2.1687
-3.4004 1.7911 0.9979
3.3156 2.9948 2.3301
-0.0026 -3.8306 3.2738
```

## Properties
DOS(E_F): 0.65 states/eV per atom
calculated volume: 26.0 A^3/atom
space-group type: C2/m
raw total energy: -6.55 eV/atom

***

First-principles (PBE-GGA) data for a geometry-optimized La2ErCd4 structure, as listed in Alexandria via LeMat-Bulk.

```
La2ErCd4
1.0
-0.8335 4.3887 -3.0517
3.0842 -2.1278 -3.9024
-6.9587 -4.2583 0.5721
Cd Er La
4 1 2
Cartesian
-1.6559 1.5299 -2.1429
0.3030 -1.7283 -2.5682
-5.0110 -0.2691 -3.8137
-3.0521 -3.5273 -4.2390
0.0000 0.0000 0.0000
-1.6551 -0.3604 -4.8617
-3.0529 -1.6370 -1.5203
```

## Properties
DOS(E_F): 0.81 states/eV per atom
calculated volume: 30.2 A^3/atom
space-group type: I4/mmm
raw total energy: -2.76 eV/atom
energy of formation: -0.178 eV/atom

***

First-principles (PBE-GGA) data for a geometry-optimized PmGd2Co structure, as listed in Alexandria via LeMat-Bulk.

```
PmGd2Co
1.0
-3.4316 -0.1784 0.1100
0.1950 -2.0580 2.7470
-0.2009 7.1984 5.4071
Gd Co Pm
2 1 1
Cartesian
-0.0363 1.2996 0.9762
-0.1646 5.8987 4.4308
-1.6183 -1.1182 1.4285
-1.7187 2.4810 4.1320
```

## Properties
DOS(E_F): 1.12 states/eV per atom
offset from the most stable computed form: 0.00 eV/f.u.
calculated volume: 26.6 A^3/atom
space-group type: P4/mmm
raw total energy: -10.04 eV/atom
energy of formation: -0.038 eV/atom

***

First-principles (PBE-GGA) data for a geometry-optimized BaHfScCr2 structure, as listed in Alexandria via LeMat-Bulk.

```
BaHfScCr2
1.0
-0.7776 -4.1886 -2.1357
4.8796 0.0310 -1.8374
1.4887 -2.2726 3.9152
Cr Hf Sc Ba
2 1 1 1
Cartesian
0.7443 -1.1363 1.9576
-0.3888 -2.0943 -1.0678
2.4398 0.0155 -0.9187
2.7953 -3.2151 -0.0289
0.0000 0.0000 0.0000
```

## Properties
DOS(E_F): 1.04 states/eV per atom
calculated volume: 23.7 A^3/atom
space-group type: P4/mmm
raw total energy: -5.45 eV/atom
energy of formation: 2.043 eV/atom

***

Sequential total magnetic moment output: 0.331; 0.052; 3.354; 0.950 μB/atom